1.
VASP calculation (PBE) on a geometry-optimized Nd2SnBi3 structure.

Cell and atoms, written as POSCAR:
```
Nd2SnBi3
1.0
-2.2477 3.2780 7.0805
2.2477 -3.2780 7.0805
2.2477 3.2780 -7.0805
Nd Sn Bi
2 1 3
direct
0.1648 0.1648 0.0000
0.8352 0.8352 0.0000
0.5000 0.5000 0.0000
0.0000 0.5000 0.5000
0.3316 0.8316 0.5000
0.6684 0.1684 0.5000
```

Values from the calculation:
**Calculated total energy**: -4.68 eV/atom
**Space group**: Immm, No. 71
**Calculated volume**: 34.78 A^3/atom

2.
VASP calculation (PBE) on a geometry-optimized Nd5Sn2Bi2 structure.

Cell and atoms, written as POSCAR:
```
Nd5Sn2Bi2
1.0
8.0654 -4.2339 0.0000
8.0654 4.2339 0.0000
0.0000 0.0000 8.5037
Nd Sn Bi
10 4 4
direct
0.0000 0.0000 0.0000
0.0365 0.6973 0.6670
0.1973 0.5365 0.1670
0.3027 0.9635 0.6670
0.4635 0.8027 0.1670
0.5000 0.5000 0.5000
0.5365 0.1973 0.8330
0.6973 0.0365 0.3330
0.8027 0.4635 0.8330
0.9635 0.3027 0.3330
0.1313 0.8687 0.3687
0.3687 0.6313 0.8687
0.6313 0.3687 0.1313
0.8687 0.1313 0.6313
0.2047 0.2047 0.0000
0.2953 0.2953 0.5000
0.7047 0.7047 0.5000
0.7953 0.7953 0.0000
```

Values from the calculation:
**Calculated total energy**: -5.25 eV/atom
**Space group**: Cmce, No. 64
**Calculated volume**: 32.27 A^3/atom

3.
VASP calculation (PBE) on a geometry-optimized Nd4SnBi2 structure.

Cell and atoms, written as POSCAR:
```
Nd4SnBi2
1.0
-4.8234 4.8234 4.8503
4.8234 -4.8234 4.8503
4.8234 4.8234 -4.8503
Nd Sn Bi
8 2 4
direct
0.1299 0.0185 0.7490
0.1309 0.5195 0.7510
0.2695 0.3809 0.2510
0.4805 0.2315 0.6114
0.6191 0.8701 0.8886
0.6201 0.8691 0.3886
0.7685 0.3799 0.2490
0.9815 0.7305 0.1114
0.2500 0.7500 0.5000
0.5000 0.5000 0.0000
0.3750 0.0027 0.1277
0.7527 0.6250 0.6277
0.8750 0.2473 0.8723
0.9973 0.1250 0.3723
```

Values from the calculation:
**Space group**: I-42d, No. 122
**Calculated volume**: 32.24 A^3/atom
**Energy above the lowest structure with this stoichiometry**: 0 meV per atom

4.
VASP calculation (PBE) on a geometry-optimized Nd8SnBi2 structure.

Cell and atoms, written as POSCAR:
```
Nd8SnBi2
1.0
9.5700 -2.5229 0.0000
9.5700 2.5229 0.0000
-0.2240 0.0000 7.6770
Nd Sn Bi
8 1 2
direct
0.0095 0.0095 0.2481
0.2188 0.2188 0.3648
0.3365 0.3365 0.9441
0.4040 0.4040 0.4733
0.5960 0.5960 0.5267
0.6635 0.6635 0.0559
0.7812 0.7812 0.6352
0.9905 0.9905 0.7519
0.5000 0.5000 0.0000
0.1702 0.1702 0.7859
0.8298 0.8298 0.2141
```

Values from the calculation:
**Calculated total energy**: -4.94 eV/atom
**Space group**: C2/m, No. 12
**Calculated volume**: 33.70 A^3/atom

5.
VASP calculation (PBE) on a geometry-optimized Nd8Sn5Bi structure.

Cell and atoms, written as POSCAR:
```
Nd8Sn5Bi
1.0
-4.8133 4.8133 4.8087
4.8133 -4.8133 4.8087
4.8133 4.8133 -4.8087
Nd Sn Bi
8 5 1
direct
0.0102 0.1212 0.7479
0.2317 0.4839 0.6054
0.3734 0.2623 0.2521
0.3738 0.7683 0.2523
0.5161 0.1215 0.7477
0.7377 0.9898 0.1111
0.8785 0.6262 0.3946
0.8788 0.6266 0.8889
0.0007 0.3768 0.1242
0.1235 0.9993 0.3761
0.2525 0.8765 0.8758
0.6232 0.7475 0.6239
0.7500 0.2500 0.5000
0.5000 0.5000 0.0000
```

Values from the calculation:
**Calculated total energy**: -5.20 eV/atom
**Space group**: I-4, No. 82
**Calculated volume**: 31.83 A^3/atom

6.
VASP calculation (PBE) on a geometry-optimized Nd8SnBi5 structure.

Cell and atoms, written as POSCAR:
```
Nd8SnBi5
1.0
-4.8372 4.8372 4.8468
4.8372 -4.8372 4.8468
4.8372 4.8372 -4.8468
Nd Sn Bi
8 1 5
direct
0.1238 0.2300 0.7535
0.1248 0.7367 0.7544
0.2633 0.0177 0.3881
0.4765 0.3703 0.2465
0.6296 0.8752 0.6119
0.6297 0.8762 0.1062
0.7700 0.5235 0.8938
0.9823 0.3704 0.2456
0.0000 0.0000 0.0000
0.2531 0.6278 0.1270
0.3722 0.4992 0.6253
0.5008 0.1262 0.8730
0.7500 0.2500 0.5000
0.8738 0.7469 0.3747
```

Values from the calculation:
**Calculated total energy**: -5.22 eV/atom
**Space group**: I-4, No. 82
**Calculated volume**: 32.40 A^3/atom

7.
VASP calculation (PBE) on a geometry-optimized Nd6SnBi5 structure.

Cell and atoms, written as POSCAR:
```
Nd6SnBi5
1.0
3.9832 -6.8981 0.0000
3.9832 6.8981 0.0000
-2.6542 0.0000 7.4910
Nd Sn Bi
6 1 5
direct
0.0823 0.4130 0.7472
0.2475 0.2475 0.2510
0.4130 0.0823 0.7472
0.5870 0.9177 0.2528
0.7525 0.7525 0.7490
0.9177 0.5870 0.2528
0.0000 0.0000 0.5000
0.1685 0.8315 0.0000
0.3338 0.6662 0.5000
0.5000 0.5000 0.0000
0.6662 0.3338 0.5000
0.8315 0.1685 0.0000
```

Values from the calculation:
**Calculated total energy**: -5.22 eV/atom
**Space group**: C2/m, No. 12
**Calculated volume**: 34.30 A^3/atom

8.
VASP calculation (PBE) on a geometry-optimized Nd2Sn4Bi structure.

Cell and atoms, written as POSCAR:
```
Nd2Sn4Bi
1.0
4.5160 0.0000 0.0000
0.0000 4.5160 0.0000
0.0000 0.0000 10.3968
Nd Sn Bi
2 4 1
direct
0.0000 0.5000 0.2440
0.5000 0.0000 0.7560
0.0000 0.0000 0.0000
0.0000 0.5000 0.7175
0.5000 0.0000 0.2825
0.5000 0.5000 0.0000
0.0000 0.0000 0.5000
```

Values from the calculation:
**Space group**: P-4m2, No. 115
**Calculated volume**: 30.29 A^3/atom
**Energy above the lowest structure with this stoichiometry**: 0 meV per atom

9.
VASP calculation (PBE) on a geometry-optimized Nd2SnBi6 structure.

Cell and atoms, written as POSCAR:
```
Nd2SnBi6
1.0
8.4113 -2.2704 0.0000
8.4113 2.2704 0.0000
-3.8101 0.0000 7.4672
Nd Sn Bi
2 1 6
direct
0.0554 0.0554 0.3151
0.9446 0.9446 0.6849
0.5000 0.5000 0.0000
0.1630 0.1630 0.0308
0.2841 0.2841 0.6706
0.4053 0.4053 0.3448
0.5947 0.5947 0.6552
0.7159 0.7159 0.3294
0.8370 0.8370 0.9692
```

Values from the calculation:
**Calculated total energy**: -4.49 eV/atom
**Space group**: C2/m, No. 12
**Calculated volume**: 31.69 A^3/atom

10.
VASP calculation (PBE) on a geometry-optimized NdSnBi3 structure.

Cell and atoms, written as POSCAR:
```
NdSnBi3
1.0
7.3996 -7.0551 0.0000
7.3996 7.0551 0.0000
-0.0839 0.0000 6.3229
Nd Sn Bi
4 4 12
direct
0.1149 0.3428 0.3297
0.3428 0.1149 0.8297
0.6572 0.8851 0.1703
0.8851 0.6572 0.6703
0.0930 0.9070 0.7500
0.4508 0.5492 0.2500
0.5492 0.4508 0.7500
0.9070 0.0930 0.2500
0.0233 0.2228 0.8321
0.1927 0.6418 0.4982
0.2228 0.0233 0.3321
0.2411 0.4391 0.8706
0.3582 0.8073 0.0018
0.4391 0.2411 0.3706
0.5609 0.7589 0.6294
0.6418 0.1927 0.9982
0.7589 0.5609 0.1294
0.7772 0.9767 0.6679
0.8073 0.3582 0.5018
0.9767 0.7772 0.1679
```

Values from the calculation:
**Calculated total energy**: -4.33 eV/atom
**Space group**: C2/c, No. 15
**Calculated volume**: 33.01 A^3/atom

11.
VASP calculation (PBE) on a geometry-optimized Nd5SnBi4 structure.

Cell and atoms, written as POSCAR:
```
Nd5SnBi4
1.0
-5.1337 5.1337 3.2474
5.1337 -5.1337 3.2474
5.1337 5.1337 -3.2474
Nd Sn Bi
5 1 4
direct
0.0000 0.0000 0.0000
0.2025 0.4000 0.6025
0.4000 0.7975 0.1974
0.6000 0.2025 0.8026
0.7975 0.6000 0.3975
0.5000 0.5000 0.0000
0.0984 0.6991 0.7975
0.3009 0.0984 0.3993
0.6991 0.9016 0.6007
0.9016 0.3009 0.2025
```

Values from the calculation:
**Calculated total energy**: -5.21 eV/atom
**Space group**: I4/m, No. 87
**Calculated volume**: 34.23 A^3/atom

12.
VASP calculation (PBE) on a geometry-optimized Nd3SnBi2 structure.

Cell and atoms, written as POSCAR:
```
Nd3SnBi2
1.0
6.7339 -3.8748 0.0000
6.7339 3.8748 0.0000
0.0000 0.0000 8.0992
Nd Sn Bi
6 2 4
direct
0.0000 0.0000 0.0000
0.0000 0.0000 0.5000
0.3356 0.3356 0.0000
0.3356 0.3356 0.5000
0.6644 0.6644 0.0000
0.6644 0.6644 0.5000
0.3313 0.6687 0.7500
0.6687 0.3313 0.2500
0.0022 0.3330 0.7500
0.3330 0.0022 0.2500
0.6670 0.9978 0.7500
0.9978 0.6670 0.2500
```

Values from the calculation:
**Calculated total energy**: -5.05 eV/atom
**Space group**: Cmcm, No. 63
**Calculated volume**: 35.22 A^3/atom

no.,total magnetization (μB/cell),D(E_F) (states/eV/f.u.)
1,0.0,4.85
2,0.0,7.28
3,0.0,7.82
4,0.0,13.88
5,0.0,7.72
6,0.0,15.94
7,0.0,4.79
8,0.0,4.47
9,0.0,4.36
10,0.0,2.62
11,0.0,3.97
12,0.0,4.43